Record 1
This record from Alexandria via LeMat-Bulk describes a geometry-optimized Y4TcNi structure. The functional is GGA-PBE.

Structure (POSCAR):
```
Y4TcNi
1.0
-2.896 4.241 2.992
-0.989 5.282 -2.540
-5.511 1.538 -1.611
Y Tc Ni
4 1 1
Cartesian
-4.973 6.271 1.066
-6.284 4.915 -1.242
-4.016 6.793 -1.709
-3.520 4.143 -0.434
0.000 0.000 0.000
-7.047 8.295 -0.869
```

**Symmetry**: No. 216
**Energy of formation from the pure elements**: 1036 meV per atom
**Uncorrected energy**: -0.4384 Ry per atom
**M_tot**: 0.16 μB/cell

Record 2
This record from Alexandria via LeMat-Bulk describes a geometry-optimized YTcNi2 structure. The functional is GGA-PBE.

Structure (POSCAR):
```
YTcNi2
1.0
-4.881 -1.049 -0.405
-0.930 -4.637 -1.650
2.888 1.928 3.610
Ni Tc Y
2 1 1
Cartesian
0.000 0.000 0.000
-0.474 -2.776 0.467
-2.906 -2.843 -1.027
-2.449 -0.982 1.089
```

**Symmetry**: No. 119
**Energy of formation from the pure elements**: 183 meV per atom
**Uncorrected energy**: -0.5083 Ry per atom
**Energy relative to the lowest polymorph listed for this composition**: 308 meV/atom
**M_tot**: 2.15 μB/cell

Record 3
This record from Alexandria via LeMat-Bulk describes a geometry-optimized YTc2Ni structure. The functional is GGA-PBE.

Structure (POSCAR):
```
YTc2Ni
1.0
4.747 0.000 0.000
0.000 3.252 0.007
0.000 0.792 4.427
Ni Tc Y
1 2 1
Cartesian
2.374 3.033 3.325
0.000 3.770 4.338
0.000 2.296 2.313
2.374 1.011 1.108
```

**Symmetry**: No. 10
**Energy of formation from the pure elements**: 210 meV per atom
**Uncorrected energy**: -0.5905 Ry per atom
**Energy relative to the lowest polymorph listed for this composition**: 179 meV/atom
**M_tot**: 0.00 μB/cell